1.
A plane-wave DFT calculation with PBE was carried out for an optimized crystal structure of Ba3MgB2O6.

Output
The formation energy without anion corrections is -2433.6 meV per atom. The value obtained for the density of states at the Fermi level is 2.0 states/eV per cell.

Lattice parameters (Å, degrees): 5.4369 5.4369 8.0294 90.00 90.00 120.00
With the nearest neighbours (Å) after each atom.
Space group P-3m1 (No. 164)
One atom of each set of equivalent atoms:
1 Ba 0.0000 0.0000 0.0000 (multiplicity 1)  6 O 3.23
2 Ba 0.3333 0.6667 0.7032 (multiplicity 2)  6 O 2.74, 1 B 2.98
3 Mg 0.0000 0.0000 0.5000 (multiplicity 1)  6 O 2.17
4 B 0.3333 0.6667 0.3314 (multiplicity 2)  3 O 1.40
5 O 0.1845 0.3689 0.3390 (multiplicity 6)  1 B 1.40


2.
A plane-wave DFT calculation with PBE was carried out for an optimized crystal structure of LiPAuCl2.

Output
Its distance to the lowest polymorph of the same formula is 207 meV per atom. The formation energy without anion corrections is 174.1 meV per atom. The value obtained for the density of states at the Fermi level is 3.8 states/eV per cell.

Lattice parameters (Å, degrees): 4.1588 4.1588 7.1378 90.00 90.00 90.00
With the nearest neighbours (Å) after each atom.
Space group P4/mmm (No. 123)
One atom of each set of equivalent atoms:
1 Li 0.0000 0.0000 0.0000 (multiplicity 1)  4 Cl 2.08
2 P 0.0000 0.0000 0.5000 (multiplicity 1)  4 Au 2.94
3 Au 0.5000 0.5000 0.5000 (multiplicity 1)  4 P 2.94
4 Cl 0.0000 0.5000 0.0000 (multiplicity 2)  2 Li 2.08


3.
A plane-wave DFT calculation with PBE was carried out for an optimized crystal structure of ZnBi2Rh.

Output
The value obtained for the density of states at the Fermi level is 11.7 states/eV per cell. The calculation puts the formation energy at -0.03 eV/atom.

Lattice parameters (Å, degrees): 9.2901 9.2901 4.9056 90.00 90.00 90.00
With the nearest neighbours (Å) after each atom.
Space group I-42d (No. 122)
One atom of each set of equivalent atoms:
1 Zn 0.0000 0.0000 0.0000 (multiplicity 4)  2 Rh 2.45
2 Bi 0.1354 0.2500 0.6250 (multiplicity 8)  2 Rh 2.71
3 Rh 0.0000 0.0000 0.5000 (multiplicity 4)  2 Zn 2.45, 4 Bi 2.71


4.
A plane-wave DFT calculation with PBE was carried out for an optimized crystal structure of CdHg2F5.

Output
Its distance to the lowest polymorph of the same formula is 0 meV per atom. The formation energy without anion corrections is -1568.2 meV per atom. The value obtained for the density of states at the Fermi level is 3.5 states/eV per cell.

Lattice parameters (Å, degrees): 4.4218 13.1879 10.6205 90.00 90.00 90.00
With the nearest neighbours (Å) after each atom.
Space group Cmcm (No. 63)
One atom of each set of equivalent atoms:
1 Cd 0.0000 0.1960 0.2500 (multiplicity 4)  6 F 2.23-2.35
2 Hg 0.0000 0.1055 0.6173 (multiplicity 8)  4 F 2.31-2.43
3 F 0.0000 0.0781 0.0972 (multiplicity 8)  1 Cd 2.25, 2 Hg 2.31-2.43
4 F 0.0000 0.2823 0.7500 (multiplicity 4)  2 Cd 2.23
5 F 0.0000 0.3345 0.1112 (multiplicity 8)  1 Cd 2.35, 2 Hg 2.35


5.
A plane-wave DFT calculation with PBE was carried out for an optimized crystal structure of ZnCoOs.

Output
Its distance to the lowest polymorph of the same formula is 231 meV per atom. The value obtained for the density of states at the Fermi level is 15.5 states/eV per cell. The calculation puts the formation energy at 0.28 eV/atom.

Lattice parameters (Å, degrees): 2.7828 4.4660 12.9510 90.00 90.00 90.00
With the nearest neighbours (Å) after each atom.
Space group Fmm2 (No. 42)
One atom of each set of equivalent atoms:
1 Zn 0.0000 0.0000 0.0000 (multiplicity 4)  2 Co 2.51, 6 Zn 2.63-2.78, 2 Os 2.70
2 Co 0.0000 0.0000 0.3389 (multiplicity 4)  2 Os 2.50, 2 Zn 2.51, 6 Co 2.63-2.78
3 Os 0.0000 0.0000 0.6787 (multiplicity 4)  2 Co 2.50, 6 Os 2.63-2.78, 2 Zn 2.70


6.
A plane-wave DFT calculation with PBE was carried out for an optimized crystal structure of Hf2NbIn.

Output
The value obtained for the density of states at the Fermi level is 11.0 states/eV per cell. The calculation puts the formation energy at 0.46 eV/atom.

Lattice parameters (Å, degrees): 4.1458 4.1458 20.8203 90.00 90.00 90.00
With the nearest neighbours (Å) after each atom.
Space group I-42d (No. 122)
One atom of each set of equivalent atoms:
1 Hf 0.2420 0.2500 0.1250 (multiplicity 8)  4 Hf 2.89-2.98, 2 Nb 2.98, 2 In 3.00
2 Nb 0.0000 0.0000 0.0000 (multiplicity 4)  4 In 2.93, 4 Hf 2.98
3 In 0.0000 0.0000 0.5000 (multiplicity 4)  4 Nb 2.93, 4 Hf 3.00


7.
A plane-wave DFT calculation with PBE was carried out for an optimized crystal structure of TlPbAu.

Output
The value obtained for the density of states at the Fermi level is 2.5 states/eV per cell. The calculation puts the formation energy at -0.05 eV/atom.

Lattice parameters (Å, degrees): 3.8400 6.4092 7.3359 74.90 76.07 74.16
With the nearest neighbours (Å) after each atom.
Space group P1 (No. 1)
One atom of each set of equivalent atoms:
1 Tl 0.0000 0.0000 0.0000 (multiplicity 1)  4 Au 3.06-3.19
2 Tl 0.4249 0.4075 0.7036 (multiplicity 1)  3 Au 3.00-3.03
3 Pb 0.1926 0.3693 0.2377 (multiplicity 1)  4 Au 3.02-3.13
4 Pb 0.7831 0.9279 0.5417 (multiplicity 1)  3 Au 2.94-2.97
5 Au 0.4863 0.7227 0.3161 (multiplicity 1)  1 Au 2.93, 4 Pb 2.94-3.06, 3 Tl 3.03-3.19
6 Au 0.7124 0.6336 0.9271 (multiplicity 1)  1 Au 2.93, 3 Pb 2.96-3.13, 4 Tl 3.00-3.12


8.
A plane-wave DFT calculation with PBE was carried out for an optimized crystal structure of LiMn2Cl.

Output
Its distance to the lowest polymorph of the same formula is 1213 meV per atom. The formation energy without anion corrections is 1014.6 meV per atom. The value obtained for the density of states at the Fermi level is 23.8 states/eV per cell.

Lattice parameters (Å, degrees): 5.5841 5.5841 5.5841 90.00 90.00 90.00
With the nearest neighbours (Å) after each atom.
Space group Fm-3m (No. 225)
One atom of each set of equivalent atoms:
1 Li 0.0000 0.0000 0.0000 (multiplicity 4)  8 Mn 2.42
2 Mn 0.2500 0.2500 0.2500 (multiplicity 8)  4 Cl 2.42, 4 Li 2.42
3 Cl 0.0000 0.0000 0.5000 (multiplicity 4)  8 Mn 2.42


Total energy
In order: -6.639, -2.685, -4.123, -2.928, -6.261, -7.720, -3.165, -4.510
Unit: eV per atom